# Ac2PmYSe6, relaxed, DFT PBE
data_Ac2PmYSe6
_cell_length_a 7.6267
_cell_length_b 7.6267
_cell_length_c 19.7318
_cell_angle_alpha 90.00
_cell_angle_beta 90.00
_cell_angle_gamma 120.00
_symmetry_space_group_name_H-M 'R 3'
_symmetry_Int_Tables_number 146
_symmetry_space_group_name_Hall 'R 3'
loop_
_atom_site_label
_atom_site_fract_x
_atom_site_fract_y
_atom_site_fract_z
_atom_site_occupancy
Ac1 0.0000 0.0000 0.0000 1
Ac2 0.0000 0.0000 0.4990 1
Pm1 0.0000 0.0000 0.2898 1
Y1 0.0000 0.0000 0.7912 1
Se1 0.0169 0.3901 0.0538 1
Se2 0.0258 0.6328 0.5526 1
# E_tot   -5.9557 eV/atom
# Formation energy from raw total energies   -1922 meV/atom
# Total magnetic moment   0.00 μB per formula unit
# Crystal system   trigonal